<a>
{"formula": "ZrSc2ZnH", "functional": "PBE-GGA", "state": "optimized geometry", "cell": [[4.397, 0.000, 0.000], [0.000, 4.397, 0.000], [0.000, 0.000, 4.345]], "species": ["Zr", "Sc", "Sc", "Zn", "H"], "frac_coords": [[0.000, 0.000, 0.000], [0.000, 0.500, 0.500], [0.500, 0.000, 0.500], [0.500, 0.500, 0.000], [0.500, 0.500, 0.500]], "space_group": "No. 123"}


<b>
{"formula": "ZrSc2ZnH", "functional": "PBE-GGA", "state": "optimized geometry", "cell": [[4.431, 0.000, 0.000], [0.000, 4.431, 0.000], [0.000, 0.000, 4.320]], "species": ["Zr", "Sc", "Sc", "Zn", "H"], "frac_coords": [[0.000, 0.000, 0.000], [0.000, 0.500, 0.500], [0.500, 0.000, 0.500], [0.500, 0.500, 0.000], [0.000, 0.000, 0.500]], "space_group": "No. 123"}


<b> is favored, and the nearest alternative lies 8.9 kJ/mol of atoms above it.


<a>
{"formula": "ZrScH", "functional": "PBE-GGA", "state": "optimized geometry", "cell": [[5.438, 0.000, 0.000], [0.000, 5.437, 0.000], [-0.022, 0.000, 6.665]], "species": ["Zr", "Zr", "Zr", "Zr", "Sc", "Sc", "Sc", "Sc", "H", "H", "H", "H"], "frac_coords": [[0.005, 0.000, 0.258], [0.495, 0.500, 0.742], [0.505, 0.500, 0.258], [0.995, 0.000, 0.742], [0.000, 0.495, 0.500], [0.000, 0.496, 0.000], [0.500, 0.995, 0.500], [0.500, 0.996, 0.000], [0.161, 0.337, 0.752], [0.339, 0.837, 0.248], [0.661, 0.837, 0.752], [0.839, 0.337, 0.248]], "space_group": "No. 5"}


<b>
{"formula": "ZrScH", "functional": "PBE-GGA", "state": "optimized geometry", "cell": [[5.461, 0.000, 0.000], [0.000, 6.621, 0.000], [0.000, 0.000, 5.452]], "species": ["Zr", "Zr", "Zr", "Zr", "Sc", "Sc", "Sc", "Sc", "H", "H", "H", "H"], "frac_coords": [[0.006, 0.250, 0.003], [0.494, 0.750, 0.503], [0.506, 0.250, 0.497], [0.994, 0.750, 0.997], [0.000, 0.000, 0.500], [0.000, 0.500, 0.500], [0.500, 0.000, 0.000], [0.500, 0.500, 0.000], [0.150, 0.750, 0.656], [0.350, 0.250, 0.156], [0.650, 0.750, 0.844], [0.850, 0.250, 0.344]], "space_group": "No. 62"}


<b> is favored, and the nearest alternative lies 0.6 kJ/mol of atoms above it.